# 1
A plane-wave DFT calculation with GGA-PBE was carried out for Be2NiOs after structural relaxation.

Unit cell a=5.8568 b=5.8568 c=4.8462 alpha=52.82 beta=52.82 gamma=90.00
Closest atoms and distances in Å follow each position.
Positions (direct):
Be 0.6032 0.1250 0.2500  2 Ni 2.08, 2 Os 2.25
Be 0.1468 0.6250 0.2500  2 Ni 2.08, 2 Os 2.25
Be 0.8750 0.8532 0.7500  2 Ni 2.08, 2 Os 2.25
Be 0.3750 0.3968 0.7500  2 Ni 2.08, 2 Os 2.25
Ni 0.5000 0.5000 0.0000  4 Be 2.08
Ni 0.2500 0.7500 0.5000  4 Be 2.08
Os 0.7500 0.2500 0.5000  4 Be 2.25, 2 Ni 2.52
Os 0.0000 0.0000 0.0000  4 Be 2.25, 2 Ni 2.52

## Properties
- energy (eV/atom) = -5.87
- size of the total moment (μB/f.u.) = 0.00
- D(E_F) (states/eV/f.u.) = 2.83

=====

# 2
A plane-wave DFT calculation with GGA-PBE was carried out for Be2NiOs after structural relaxation.

Unit cell a=2.5337 b=2.5337 c=7.5666 alpha=90.00 beta=90.00 gamma=112.71
Closest atoms and distances in Å follow each position.
Positions (direct):
Os 0.5000 0.5000 0.7621  2 Be 2.36, 4 Os 2.53, 2 Ni 2.60
Be 0.0000 0.0000 0.0127  6 Be 2.29-2.53, 2 Os 2.36
Be 0.5000 0.5000 0.2518  2 Ni 2.19, 2 Be 2.29
Ni 0.0000 0.0000 0.4734  2 Be 2.19

## Properties
- energy (eV/atom) = -5.92
- size of the total moment (μB/f.u.) = 0.00
- D(E_F) (states/eV/f.u.) = 3.48

=====

# 3
A plane-wave DFT calculation with GGA-PBE was carried out for BeNiOs after structural relaxation.

Unit cell a=3.9356 b=3.9356 c=2.5280 alpha=90.00 beta=90.00 gamma=120.00
Closest atoms and distances in Å follow each position.
Positions (direct):
Ni 0.6667 0.3333 0.1669  3 Be 2.27, 2 Ni 2.53
Be 0.0000 0.0000 0.1664  3 Ni 2.27, 2 Be 2.53
Os 0.3333 0.6667 0.6667  2 Os 2.53, 6 Be 2.60, 6 Ni 2.60

## Properties
- excess energy over the best structure of this formula in the dataset (meV per atom) = 115
- size of the total moment (μB/f.u.) = 0.52
- D(E_F) (states/eV/f.u.) = 3.98